# 1
Entry from the Alexandria database: a relaxed MgBi2 crystal (GGA-PBE).

- energy relative to the elements (eV/atom) = 0.269

abc: 9.299 9.299 9.299
angles: 90.00 90.00 90.00
Space group Fd-3m (No. 227, origin choice 2)
One atom of each set of equivalent atoms:
Mg 0.125 0.125 0.125 [8 per cell]
Bi 0.000 0.000 0.500 [16 per cell]



# 2
Entry from the Alexandria database: a relaxed Cs4PbO4 crystal (GGA-PBE).

- E_form (uncorrected) (meV per atom) = -1216
- polymorph energy (0 for the lowest one) (eV/atom) = 0.000

abc: 12.004 7.552 12.053
angles: 90.00 110.73 90.00
Space group P2_1/c (No. 14)
One atom of each set of equivalent atoms:
Cs 0.055 0.089 0.193 [4 per cell]
Cs 0.158 0.609 0.091 [4 per cell]
Cs 0.364 0.656 0.892 [4 per cell]
Cs 0.429 0.180 0.797 [4 per cell]
Pb 0.243 0.129 0.995 [4 per cell]
O 0.075 0.245 0.969 [4 per cell]
O 0.222 0.512 0.337 [4 per cell]
O 0.300 0.531 0.650 [4 per cell]
O 0.374 0.169 0.524 [4 per cell]



# 3
Entry from the Alexandria database: a relaxed CuTe2I crystal (GGA-PBE).

- E_form (uncorrected) (meV per atom) = -113

abc: 8.654 5.232 13.247
angles: 90.00 115.30 90.00
Space group P2_1/c (No. 14)
One atom of each set of equivalent atoms:
Cu 0.189 0.134 0.250 [4 per cell]
Te 0.284 0.024 0.650 [4 per cell]
Te 0.414 0.711 0.847 [4 per cell]
I 0.091 0.119 0.887 [4 per cell]



# 4
Entry from the Alexandria database: a relaxed CaSi2Pb crystal (GGA-PBE).

- E_form (uncorrected) (meV per atom) = -40

abc: 10.830 3.776 5.908
angles: 90.00 121.73 90.00
Space group C2/m (No. 12)
One atom of each set of equivalent atoms:
Ca 0.000 0.000 0.000 [2 per cell]
Si 0.244 0.500 0.364 [4 per cell]
Pb 0.000 0.500 0.500 [2 per cell]



| no. | magnetic moment (μB/f.u.) | E_tot (eV per formula unit) |
| --- | --- | --- |
| 1 | 0.0 | -8.5 |
| 2 | 0.1 | -37.9 |
| 3 | 0.0 | -12.4 |
| 4 | 0.0 | -16.7 |